# 1
Below is a relaxed TePtSN2 crystal, with properties calculated at the PBE level.

Structure (extended XYZ):
```
5
Lattice="3.6091 0.0000 0.0000 0.0000 3.6091 0.0000 0.0000 0.0000 7.6374" Properties=species:S:1:pos:R:3 pbc="T T T"
Te 0.0000 0.0000 0.0000
Pt 1.8046 1.8046 0.0000
S 0.0000 0.0000 3.8187
N 0.0000 1.8046 3.8187
N 1.8046 0.0000 3.8187
```

Output
density of states at the Fermi level: 0.7183 states/eV/atom
space group: P4/mmm
excess energy over the best structure of this formula in the dataset: 389 meV per atom

***

# 2
Below is a relaxed TePtSN2 crystal, with properties calculated at the PBE level.

Structure (extended XYZ):
```
5
Lattice="3.8281 0.0000 0.0000 0.0000 3.8281 0.0000 0.0000 0.0000 5.7167" Properties=species:S:1:pos:R:3 pbc="T T T"
Te 0.0000 0.0000 0.0000
Pt 1.9140 1.9140 2.8583
S 0.0000 0.0000 2.8583
N 0.0000 1.9140 0.0000
N 1.9140 0.0000 0.0000
```

Output
density of states at the Fermi level: 0.9712 states/eV/atom
space group: P4/mmm
excess energy over the best structure of this formula in the dataset: 539 meV per atom

***

# 3
Below is a relaxed TiPtSN2 crystal, with properties calculated at the PBE level.

Structure (extended XYZ):
```
5
Lattice="3.6912 0.0000 0.0000 0.0000 3.6912 0.0000 0.0000 0.0000 7.3627" Properties=species:S:1:pos:R:3 pbc="T T T"
Ti 0.0000 0.0000 0.0000
Pt 1.8456 1.8456 3.6813
S 1.8456 1.8456 0.0000
N 0.0000 1.8456 3.6813
N 1.8456 0.0000 3.6813
```

Output
density of states at the Fermi level: 0.7802 states/eV/atom
space group: P4/mmm
excess energy over the best structure of this formula in the dataset: 218 meV per atom

***

# 4
Below is a relaxed TiPtSN2 crystal, with properties calculated at the PBE level.

Structure (extended XYZ):
```
5
Lattice="3.7917 0.0000 0.0000 0.0000 3.7917 0.0000 0.0000 0.0000 5.1616" Properties=species:S:1:pos:R:3 pbc="T T T"
Ti 0.0000 0.0000 0.0000
Pt 1.8959 1.8959 2.5808
S 0.0000 0.0000 2.5808
N 0.0000 1.8959 0.0000
N 1.8959 0.0000 0.0000
```

Output
density of states at the Fermi level: 0.7447 states/eV/atom
space group: P4/mmm
excess energy over the best structure of this formula in the dataset: 0 meV per atom

***

# 5
Below is a relaxed U2PtS2N2 crystal, with properties calculated at the PBE level.

Structure (extended XYZ):
```
7
Lattice="3.7419 0.0000 0.0000 -1.8709 3.2405 0.0000 0.0000 0.0000 11.4161" Properties=species:S:1:pos:R:3 pbc="T T T"
U 0.0000 2.1604 3.5244
U 1.8709 1.0802 7.8917
Pt 0.0000 0.0000 5.7080
S 0.0000 0.0000 1.9113
S 0.0000 0.0000 9.5048
N 0.0000 2.1604 7.4500
N 1.8709 1.0802 3.9661
```

Output
density of states at the Fermi level: 0.6015 states/eV/atom
VASP energy: -0.3128 hartree per atom
space group: P-3m1

***

# 6
Below is a relaxed VPtS2N crystal, with properties calculated at the PBE level.

Structure (extended XYZ):
```
5
Lattice="4.8987 0.0000 0.0000 0.0000 4.8987 0.0000 0.0000 0.0000 3.6435" Properties=species:S:1:pos:R:3 pbc="T T T"
V 0.0000 0.0000 0.0000
Pt 2.4493 2.4493 1.8217
S 0.0000 2.4493 1.8217
S 2.4493 0.0000 1.8217
N 2.4493 2.4493 0.0000
```

Output
density of states at the Fermi level: 1.3208 states/eV/atom
space group: P4/mmm
excess energy over the best structure of this formula in the dataset: 503 meV per atom

***

# 7
Below is a relaxed VPtSN2 crystal, with properties calculated at the PBE level.

Structure (extended XYZ):
```
5
Lattice="3.6764 0.0000 0.0000 0.0000 3.6764 0.0000 0.0000 0.0000 8.1340" Properties=species:S:1:pos:R:3 pbc="T T T"
V 0.0000 0.0000 0.0000
Pt 1.8382 1.8382 4.0670
S 1.8382 1.8382 0.0000
N 0.0000 1.8382 4.0670
N 1.8382 0.0000 4.0670
```

Output
density of states at the Fermi level: 1.1900 states/eV/atom
VASP energy: -0.2261 hartree per atom
space group: P4/mmm

***

# 8
Below is a relaxed VPtS2N crystal, with properties calculated at the PBE level.

Structure (extended XYZ):
```
5
Lattice="4.6843 0.0000 0.0000 0.0000 4.6843 0.0000 0.0000 0.0000 3.5510" Properties=species:S:1:pos:R:3 pbc="T T T"
V 0.0000 0.0000 0.0000
Pt 2.3422 2.3422 1.7755
S 0.0000 2.3422 0.0000
S 2.3422 0.0000 0.0000
N 0.0000 0.0000 1.7755
```

Output
density of states at the Fermi level: 0.6228 states/eV/atom
space group: P4/mmm
excess energy over the best structure of this formula in the dataset: 0 meV per atom

***

What is the formula in the third record? TiPtSN2

***

What is the formula in the eighth record? VPtS2N

***

Look up the density of states at the Fermi level of the first one. 0.7183 states/eV/atom

***

What is the density of states at the Fermi level in the fifth record? 0.6015 states/eV/atom